No. 1
Below is crystalline CuTe2Cl at its relaxed geometry, with properties calculated at the PBE level.

Calculated values
Space group: Fm-3m
E, eV/atom: -2.7413

Cell: 4.9747 4.9747 4.9747 Å, 60.00 60.00 60.00°
With the nearest neighbours (Å) after each atom.
Fractional positions:
Te  0.2500  0.2500  0.2500  4 Cl 3.05, 4 Cu 3.05
Te  0.7500  0.7500  0.7500  4 Cl 3.05, 4 Cu 3.05
Cu  0.5000  0.5000  0.5000  8 Te 3.05
Cl  0.0000  0.0000  0.0000  8 Te 3.05


No. 2
Below is crystalline TlCu2TeCl6 at its relaxed geometry, with properties calculated at the PBE level.

Calculated values
Space group: P1
E, eV/atom: -3.0437

Cell: 7.2173 6.4362 8.8878 Å, 100.63 119.55 109.70°
With the nearest neighbours (Å) after each atom.
Fractional positions:
Tl  0.0183  0.5573  0.5051  7 Cl 3.24-3.43
Cu  0.4720  0.7053  0.1803  3 Cl 2.18-2.24
Cu  0.5205  0.3348  0.8134  4 Cl 2.20-2.40
Te  0.0215  0.0228  0.0015  4 Cl 2.54-2.70
Cl  0.6115  0.0100  0.8288  1 Cu 2.40, 1 Te 2.54
Cl  0.4626  0.0513  0.2107  1 Cu 2.22
Cl  0.7031  0.6197  0.1199  2 Cu 2.18-2.35
Cl  0.2325  0.4733  0.2424  1 Cu 2.24
Cl  0.8075  0.5718  0.7762  1 Cu 2.34, 1 Te 2.57
Cl  0.1161  0.1314  0.6241  1 Cu 2.20


No. 3
Below is crystalline Tl2CuTeCl6 at its relaxed geometry, with properties calculated at the PBE level.

Calculated values
Space group: Pmmn
E, eV/atom: -2.9789

Cell: 7.3620 7.9967 10.6958 Å, 90.00 90.00 90.00°
With the nearest neighbours (Å) after each atom.
Fractional positions:
Tl  0.5000  0.8295  0.2653  1 Cl 3.04
Tl  0.0000  0.1705  0.7653  1 Cl 3.04
Tl  0.5000  0.8295  0.7347  1 Cl 3.04
Tl  0.0000  0.1705  0.2347  1 Cl 3.04
Cu  0.0000  0.8351  0.5000  2 Cl 2.19
Cu  0.5000  0.1649  0.0000  2 Cl 2.19
Te  0.5000  0.3107  0.5000  4 Cl 2.47-2.71
Te  0.0000  0.6893  0.0000  4 Cl 2.47-2.71
Cl  0.5000  0.2002  0.2033  1 Cu 2.19
Cl  0.5000  0.2002  0.7967  1 Cu 2.19
Cl  0.0000  0.7998  0.2967  1 Cu 2.19
Cl  0.0000  0.7998  0.7033  1 Cu 2.19
Cl  0.2510  0.0603  0.5000  1 Cu 2.58, 1 Te 2.71
Cl  0.7490  0.0603  0.5000  1 Cu 2.58, 1 Te 2.71
Cl  0.2612  0.5279  0.5000  1 Te 2.47
Cl  0.7388  0.5279  0.5000  1 Te 2.47
Cl  0.7612  0.4721  0.0000  1 Te 2.47
Cl  0.2388  0.4721  0.0000  1 Te 2.47
Cl  0.2490  0.9397  0.0000  1 Cu 2.58, 1 Te 2.71
Cl  0.7510  0.9397  0.0000  1 Cu 2.58, 1 Te 2.71


No. 4
Below is crystalline ThCuCl6 at its relaxed geometry, with properties calculated at the PBE level.

Calculated values
Space group: P-1
E, eV/atom: -4.2707

Cell: 6.7061 6.9880 6.9213 Å, 64.72 63.15 54.77°
With the nearest neighbours (Å) after each atom.
Fractional positions:
Th  0.5000  0.5000  0.5000  6 Cl 2.61-2.76
Cu  0.0000  0.0000  0.0000  4 Cl 2.31
Cl  0.1103  0.4233  0.7346  1 Th 2.61
Cl  0.7714  0.0900  0.7759  1 Cu 2.31
Cl  0.6241  0.2213  0.2361  1 Cu 2.31
Cl  0.2286  0.9100  0.2241  1 Cu 2.31
Cl  0.8897  0.5767  0.2654  1 Th 2.61
Cl  0.3759  0.7787  0.7639  1 Cu 2.31


No. 5
Below is crystalline ThCu2Cl8 at its relaxed geometry, with properties calculated at the PBE level.

Calculated values
Space group: C2/m
E, eV/atom: -3.8921

Cell: 6.4444 7.7129 7.7129 Å, 64.84 99.10 99.10°
With the nearest neighbours (Å) after each atom.
Fractional positions:
Th  0.0000  0.0000  0.0000  6 Cl 2.68-2.72
Cu  0.7002  0.2026  0.2026  3 Cl 2.13-2.31
Cu  0.2998  0.7974  0.7974  3 Cl 2.13-2.31
Cl  0.2103  0.1081  0.6851  1 Cu 2.31
Cl  0.2103  0.6851  0.1081  1 Cu 2.31
Cl  0.7897  0.8919  0.3149  1 Cu 2.31
Cl  0.2211  0.6307  0.6307  1 Cu 2.13
Cl  0.7897  0.3149  0.8919  1 Cu 2.31
Cl  0.3203  0.1645  0.1645  1 Cu 2.41, 1 Th 2.68
Cl  0.6797  0.8355  0.8355  1 Cu 2.41, 1 Th 2.68
Cl  0.7789  0.3693  0.3693  1 Cu 2.13


No. 6
Below is crystalline ThTlCuCl6 at its relaxed geometry, with properties calculated at the PBE level.

Calculated values
Space group: P-31c
E, eV/atom: -4.2728

Cell: 6.7234 6.7234 14.7894 Å, 90.00 90.00 120.00°
With the nearest neighbours (Å) after each atom.
Fractional positions:
Th  0.6667  0.3333  0.2500  6 Cl 2.70
Th  0.3333  0.6667  0.7500  6 Cl 2.70
Tl  0.0000  0.0000  0.0000  6 Cl 3.25
Tl  0.0000  0.0000  0.5000  6 Cl 3.25
Cu  0.3333  0.6667  0.2500  6 Cl 2.59
Cu  0.6667  0.3333  0.7500  6 Cl 2.59
Cl  0.6321  0.6456  0.1462  1 Cu 2.59, 1 Th 2.70
Cl  0.0136  0.3679  0.1462  1 Cu 2.59, 1 Th 2.70
Cl  0.3679  0.0136  0.6462  1 Cu 2.59, 1 Th 2.70
Cl  0.9864  0.6321  0.8538  1 Cu 2.59, 1 Th 2.70
Cl  0.3544  0.3679  0.3538  1 Cu 2.59, 1 Th 2.70
Cl  0.0136  0.6456  0.3538  1 Cu 2.59, 1 Th 2.70
Cl  0.6456  0.0136  0.8538  1 Cu 2.59, 1 Th 2.70
Cl  0.6321  0.9864  0.3538  1 Cu 2.59, 1 Th 2.70
Cl  0.9864  0.3544  0.6462  1 Cu 2.59, 1 Th 2.70
Cl  0.3544  0.9864  0.1462  1 Cu 2.59, 1 Th 2.70
Cl  0.6456  0.6321  0.6462  1 Cu 2.59, 1 Th 2.70
Cl  0.3679  0.3544  0.8538  1 Cu 2.59, 1 Th 2.70


No. 7
Below is crystalline TiCu2Cl6 at its relaxed geometry, with properties calculated at the PBE level.

Calculated values
Space group: C2/c
Excess energy over the best structure of this formula in the dataset, meV per atom: 26
E, eV/atom: -4.0318

Cell: 6.3564 8.7521 8.7521 Å, 77.81 84.32 84.32°
With the nearest neighbours (Å) after each atom.
Fractional positions:
Ti  0.2500  0.0963  0.9037  6 Cl 2.27-2.52
Ti  0.7500  0.9037  0.0963  6 Cl 2.27-2.52
Cu  0.2046  0.5333  0.6821  3 Cl 2.18-2.28
Cu  0.2954  0.3179  0.4667  3 Cl 2.18-2.28
Cu  0.7954  0.4667  0.3179  3 Cl 2.18-2.28
Cu  0.7046  0.6821  0.5333  3 Cl 2.18-2.28
Cl  0.3576  0.7251  0.5249  2 Cu 2.18-2.21
Cl  0.1424  0.4751  0.2749  2 Cu 2.18-2.21
Cl  0.6424  0.2749  0.4751  2 Cu 2.18-2.21
Cl  0.8576  0.5249  0.7251  2 Cu 2.18-2.21
Cl  0.8468  0.8733  0.3447  1 Ti 2.27, 1 Cu 2.28
Cl  0.6532  0.6553  0.1267  1 Ti 2.27, 1 Cu 2.28
Cl  0.1532  0.1267  0.6553  1 Ti 2.27, 1 Cu 2.28
Cl  0.3468  0.3447  0.8733  1 Ti 2.27, 1 Cu 2.28
Cl  0.0905  0.8353  0.9701  2 Ti 2.41-2.52
Cl  0.4095  0.0299  0.1647  2 Ti 2.41-2.52
Cl  0.9095  0.1647  0.0299  2 Ti 2.41-2.52
Cl  0.5905  0.9701  0.8353  2 Ti 2.41-2.52


No. 8
Below is crystalline TiCu2Cl6 at its relaxed geometry, with properties calculated at the PBE level.

Calculated values
Space group: C2/c
Excess energy over the best structure of this formula in the dataset, meV per atom: 0
E, eV/atom: -4.0575

Cell: 5.8855 9.6684 9.6684 Å, 93.99 96.23 96.23°
With the nearest neighbours (Å) after each atom.
Fractional positions:
Ti  0.2500  0.9134  0.0866  4 Cl 2.19-2.35
Ti  0.7500  0.0866  0.9134  4 Cl 2.19-2.35
Cu  0.1955  0.3953  0.3945  2 Cl 2.14
Cu  0.3045  0.6055  0.6047  2 Cl 2.14
Cu  0.8045  0.6047  0.6055  2 Cl 2.14
Cu  0.6955  0.3945  0.3953  2 Cl 2.14
Cl  0.4406  0.2741  0.4930  2 Cu 2.14
Cl  0.0594  0.5070  0.7259  2 Cu 2.14
Cl  0.5594  0.7259  0.5070  2 Cu 2.14
Cl  0.9406  0.4930  0.2741  2 Cu 2.14
Cl  0.8628  0.0776  0.7045  1 Ti 2.19
Cl  0.6372  0.2955  0.9224  1 Ti 2.19
Cl  0.1372  0.9224  0.2955  1 Ti 2.19
Cl  0.3628  0.7045  0.0776  1 Ti 2.19
Cl  0.1056  0.1561  0.0494  2 Ti 2.35-2.62
Cl  0.3944  0.9506  0.8439  2 Ti 2.35-2.62
Cl  0.8944  0.8439  0.9506  2 Ti 2.35-2.62
Cl  0.6056  0.0494  0.1561  2 Ti 2.35-2.62


No. 9
Below is crystalline Ti2CuCl8 at its relaxed geometry, with properties calculated at the PBE level.

Calculated values
Space group: C2/m
E, eV/atom: -4.4476

Cell: 6.3158 7.6465 7.6465 Å, 81.84 90.48 90.48°
With the nearest neighbours (Å) after each atom.
Fractional positions:
Ti  0.6668  0.7993  0.7993  4 Cl 2.20-2.25
Ti  0.3332  0.2007  0.2007  4 Cl 2.20-2.25
Cu  0.0000  0.0000  0.0000  4 Cl 2.47
Cl  0.1900  0.2847  0.9311  1 Ti 2.25, 1 Cu 2.47
Cl  0.8100  0.0689  0.7153  1 Ti 2.25, 1 Cu 2.47
Cl  0.3167  0.8213  0.8213  1 Ti 2.23
Cl  0.6833  0.1787  0.1787  1 Ti 2.23
Cl  0.1900  0.9311  0.2847  1 Ti 2.25, 1 Cu 2.47
Cl  0.8100  0.7153  0.0689  1 Ti 2.25, 1 Cu 2.47
Cl  0.7550  0.6160  0.6160  1 Ti 2.20
Cl  0.2450  0.3840  0.3840  1 Ti 2.20


No. 10
Below is crystalline TiCu2Cl8 at its relaxed geometry, with properties calculated at the PBE level.

Calculated values
Space group: C2/m
E, eV/atom: -3.6545

Cell: 7.1239 6.9671 9.9471 Å, 116.94 90.00 120.75°
With the nearest neighbours (Å) after each atom.
Fractional positions:
Cl  0.9360  0.3334  0.1177  1 Cu 2.36, 1 Ti 2.36
Cl  0.3974  0.3334  0.1177  1 Cu 2.36, 1 Ti 2.36
Cl  0.0640  0.6666  0.8823  1 Cu 2.36, 1 Ti 2.36
Cl  0.3895  0.7790  0.5387  1 Cu 2.10
Cl  0.6026  0.6666  0.8823  1 Cu 2.36, 1 Ti 2.36
Cl  0.9968  0.9935  0.2371  1 Cu 2.33, 1 Ti 2.38
Cl  0.0032  0.0065  0.7629  1 Cu 2.33, 1 Ti 2.38
Cl  0.6105  0.2210  0.4613  1 Cu 2.10
Cu  0.7829  0.5657  0.6875  2 Cl 2.10-2.33
Cu  0.2171  0.4343  0.3125  2 Cl 2.10-2.33
Ti  0.0000  0.0000  0.0000  6 Cl 2.36-2.38


No. 11
Below is crystalline TiCu2Cl8 at its relaxed geometry, with properties calculated at the PBE level.

Calculated values
Space group: C2/m
E, eV/atom: -3.6535

Cell: 5.8866 7.4286 7.4286 Å, 72.71 82.58 82.58°
With the nearest neighbours (Å) after each atom.
Fractional positions:
Ti  0.0000  0.0000  0.0000  6 Cl 2.36-2.37
Cu  0.6901  0.8034  0.8034  3 Cl 2.13-2.30
Cu  0.3099  0.1966  0.1966  3 Cl 2.13-2.30
Cl  0.2069  0.2723  0.8930  1 Cu 2.30, 1 Ti 2.37
Cl  0.7931  0.1070  0.7277  1 Cu 2.30, 1 Ti 2.37
Cl  0.2779  0.8344  0.8344  1 Ti 2.36, 1 Cu 2.40
Cl  0.7221  0.1656  0.1656  1 Ti 2.36, 1 Cu 2.40
Cl  0.2069  0.8930  0.2723  1 Cu 2.30, 1 Ti 2.37
Cl  0.7931  0.7277  0.1070  1 Cu 2.30, 1 Ti 2.37
Cl  0.7642  0.6235  0.6235  1 Cu 2.13
Cl  0.2358  0.3765  0.3765  1 Cu 2.13


No. 12
Below is crystalline TiCuCl6 at its relaxed geometry, with properties calculated at the PBE level.

Calculated values
Space group: P-1
E, eV/atom: -3.9448

Cell: 5.5543 7.7589 7.3079 Å, 50.46 68.98 66.22°
With the nearest neighbours (Å) after each atom.
Fractional positions:
Ti  0.0000  0.0000  0.0000  6 Cl 2.25-2.43
Cu  0.5000  0.5000  0.5000  4 Cl 2.27-2.32
Cl  0.1453  0.3499  0.7826  1 Cu 2.32, 1 Ti 2.43
Cl  0.7986  0.1531  0.6633  1 Cu 2.27, 1 Ti 2.43
Cl  0.6337  0.1687  0.1462  1 Ti 2.25
Cl  0.2014  0.8469  0.3367  1 Cu 2.27, 1 Ti 2.43
Cl  0.8547  0.6501  0.2174  1 Cu 2.32, 1 Ti 2.43
Cl  0.3663  0.8313  0.8538  1 Ti 2.25


No. 13
Below is crystalline TiTlCu2Cl8 at its relaxed geometry, with properties calculated at the PBE level.

Calculated values
Space group: P-1
E, eV/atom: -3.7860

Cell: 6.1573 6.9006 8.9488 Å, 63.34 86.91 95.72°
With the nearest neighbours (Å) after each atom.
Fractional positions:
Ti  0.0000  0.0000  0.0000  6 Cl 2.30-2.41
Tl  0.0000  0.0000  0.5000  6 Cl 3.19-3.36
Cu  0.5138  0.3374  0.6829  4 Cl 2.24-2.43
Cu  0.4862  0.6626  0.3171  4 Cl 2.24-2.43
Cl  0.1170  0.7520  0.2634  1 Ti 2.41, 1 Cu 2.43
Cl  0.6613  0.7593  0.0616  1 Cu 2.25, 1 Ti 2.40
Cl  0.8499  0.1847  0.1307  1 Ti 2.30
Cl  0.8830  0.2480  0.7366  1 Ti 2.41, 1 Cu 2.43
Cl  0.3387  0.2407  0.9384  1 Cu 2.25, 1 Ti 2.40
Cl  0.1501  0.8153  0.8693  1 Ti 2.30
Cl  0.5089  0.7136  0.5466  2 Cu 2.24-2.32
Cl  0.4911  0.2864  0.4534  2 Cu 2.24-2.32


No. 14
Below is crystalline Tl2CuCl3 at its relaxed geometry, with properties calculated at the PBE level.

Calculated values
Space group: C2/c
Excess energy over the best structure of this formula in the dataset, meV per atom: 3
E, eV/atom: -3.2082

Cell: 7.8327 8.3151 7.2832 Å, 108.65 122.53 90.00°
With the nearest neighbours (Å) after each atom.
Fractional positions:
Tl  0.4716  0.6644  0.3040  6 Cl 3.22-3.38
Tl  0.8324  0.1644  0.3040  6 Cl 3.22-3.38
Tl  0.1676  0.8356  0.6960  6 Cl 3.22-3.38
Tl  0.5284  0.3356  0.6960  6 Cl 3.22-3.38
Cu  0.9181  0.7500  0.0000  3 Cl 2.21-2.34
Cu  0.0819  0.2500  0.0000  3 Cl 2.21-2.34
Cl  0.3803  0.2500  0.0000  1 Cu 2.34
Cl  0.6197  0.7500  0.0000  1 Cu 2.34
Cl  0.1869  0.9492  0.3236  1 Cu 2.21
Cl  0.8634  0.5508  0.6764  1 Cu 2.21
Cl  0.1366  0.4492  0.3236  1 Cu 2.21
Cl  0.8131  0.0508  0.6764  1 Cu 2.21


No. 15
Below is crystalline TlCu3Cl8 at its relaxed geometry, with properties calculated at the PBE level.

Calculated values
Space group: C2/m
Excess energy over the best structure of this formula in the dataset, meV per atom: 0
E, eV/atom: -2.9863

Cell: 7.0148 7.9529 7.3451 Å, 118.29 90.00 116.17°
With the nearest neighbours (Å) after each atom.
Fractional positions:
Tl  0.0000  0.0000  0.0000  6 Cl 2.56-2.82
Cu  0.5000  0.0000  0.0000  4 Cl 2.35
Cu  0.5000  0.5000  0.0000  4 Cl 2.31-2.41
Cu  0.0000  0.5000  0.0000  4 Cl 2.31-2.41
Cl  0.2531  0.5063  0.7989  2 Cu 2.31
Cl  0.7469  0.4937  0.2011  2 Cu 2.31
Cl  0.2635  0.9853  0.7593  1 Cu 2.35, 1 Tl 2.56
Cl  0.7218  0.9853  0.7593  1 Cu 2.35, 1 Tl 2.56
Cl  0.7684  0.5367  0.7956  2 Cu 2.41
Cl  0.2316  0.4633  0.2044  2 Cu 2.41
Cl  0.2782  0.0147  0.2407  1 Cu 2.35, 1 Tl 2.56
Cl  0.7365  0.0147  0.2407  1 Cu 2.35, 1 Tl 2.56


No. 16
Below is crystalline TlCu2Cl at its relaxed geometry, with properties calculated at the PBE level.

Calculated values
Space group: R-3m
Excess energy over the best structure of this formula in the dataset, meV per atom: 104
E, eV/atom: -3.0033

Cell: 7.5301 7.5301 7.5301 Å, 26.53 26.53 26.53°
With the nearest neighbours (Å) after each atom.
Fractional positions:
Tl  0.2500  0.2500  0.2500  6 Cu 2.80
Cu  0.0067  0.0067  0.0067  3 Cl 2.60, 3 Tl 2.80
Cu  0.4933  0.4933  0.4933  3 Cl 2.60, 3 Tl 2.80
Cl  0.7500  0.7500  0.7500  6 Cu 2.60


No. 17
Below is crystalline TlCuCl2 at its relaxed geometry, with properties calculated at the PBE level.

Calculated values
Space group: Immm
Excess energy over the best structure of this formula in the dataset, meV per atom: 134
E, eV/atom: -3.1260

Cell: 5.6629 5.6629 5.6629 Å, 142.78 111.62 80.51°
With the nearest neighbours (Å) after each atom.
Fractional positions:
Tl  0.2500  0.7500  0.5000  8 Cl 3.28-3.56, 2 Tl 3.61, 4 Cu 3.66
Cu  0.7500  0.2500  0.5000  4 Cl 2.40
Cl  0.9336  0.9336  0.0000  2 Cu 2.40
Cl  0.5664  0.5664  0.0000  2 Cu 2.40


No. 18
Below is crystalline TlCu2Cl at its relaxed geometry, with properties calculated at the PBE level.

Calculated values
Space group: Pm
Excess energy over the best structure of this formula in the dataset, meV per atom: 15
E, eV/atom: -3.0917

Cell: 3.3062 3.2826 7.6065 Å, 77.73 90.00 90.00°
With the nearest neighbours (Å) after each atom.
Fractional positions:
Tl  0.0000  0.5833  0.4610  5 Cu 3.11-3.14, 4 Tl 3.28-3.31
Cu  0.0000  0.7958  0.0387  2 Cl 2.33, 4 Cu 2.56-2.57
Cu  0.5000  0.2234  0.1827  4 Cu 2.56-2.57
Cl  0.5000  0.8975  0.8176  2 Cu 2.33


No. 19
Below is crystalline TlCu2Cl at its relaxed geometry, with properties calculated at the PBE level.

Calculated values
Space group: P4mm
Excess energy over the best structure of this formula in the dataset, meV per atom: 51
E, eV/atom: -3.0562

Cell: 3.2257 3.2283 7.7409 Å, 90.00 90.00 90.00°
With the nearest neighbours (Å) after each atom.
Fractional positions:
Tl  0.0000  0.0000  0.4430  5 Cu 3.08-3.22, 4 Tl 3.23
Cu  0.0000  0.0000  0.0275  4 Cu 2.55, 4 Cl 2.65
Cu  0.5000  0.5000  0.1759  1 Cl 2.50, 4 Cu 2.55
Cl  0.5000  0.5000  0.8535  5 Cu 2.50-2.65


No. 20
Below is crystalline TlCuCl6 at its relaxed geometry, with properties calculated at the PBE level.

Calculated values
Space group: P-1
Excess energy over the best structure of this formula in the dataset, meV per atom: 0
E, eV/atom: -2.6453

Cell: 7.5503 8.8478 6.8872 Å, 60.55 59.15 39.84°
With the nearest neighbours (Å) after each atom.
Fractional positions:
Tl  0.5000  0.5000  0.5000  2 Cl 2.37
Cu  0.0000  0.0000  0.0000  4 Cl 2.18-2.19
Cl  0.0845  0.5695  0.6517  1 Tl 2.37
Cl  0.7218  0.0849  0.8638  1 Cu 2.18
Cl  0.6273  0.2213  0.2613  1 Cu 2.19
Cl  0.2782  0.9151  0.1362  1 Cu 2.18
Cl  0.9155  0.4305  0.3483  1 Tl 2.37
Cl  0.3727  0.7787  0.7387  1 Cu 2.19